First-principles (GGA+U) data for crystalline BeZnCrO4 at its relaxed geometry, as listed in the Alexandria database.

The space group is Cmcm (No. 63) and the conventional cell measures 5.341, 8.224 and 6.037 Å, with angles of 90.00, 90.00 and 90.00 degrees. Symmetry generates all atoms from Be at (0.000, 0.157, 0.250), Zn at (0.000, 0.164, 0.750), Cr at (0.000, 0.500, 0.000), O at (0.000, 0.272, 0.035) and O at (0.248, 0.025, 0.250).

As for the final energy: -44.970 eV per formula unit. The size of the total moment comes out at 8.00 μB/cell.